Nd4RhSI2 after structural relaxation. Source: Alexandria, functional PBE.

```
Nd4RhSI2
1.0
7.492 0.000 0.000
0.000 4.095 0.000
-2.361 0.000 7.854
Nd Rh S I
4 1 1 2
direct
0.215 0.000 0.189
0.274 0.500 0.809
0.726 0.500 0.191
0.785 0.000 0.811
0.000 0.500 0.000
0.500 0.000 0.000
0.000 0.000 0.500
0.500 0.500 0.500
```

SG: P2/m (10)
Total moment: 0.0 μB per formula unit
Raw total energy: -5.373 eV per atom
Theoretical density: 6656 kg/m³


Nd8Rh3SI3 after structural relaxation. Source: Alexandria, functional PBE.

```
Nd8Rh3SI3
1.0
4.213 2.433 7.829
-4.213 2.433 7.829
0.000 -4.865 7.829
Nd Rh S I
8 3 1 3
direct
0.219 0.737 0.737
0.230 0.230 0.230
0.263 0.263 0.781
0.263 0.781 0.263
0.737 0.219 0.737
0.737 0.737 0.219
0.770 0.770 0.770
0.781 0.263 0.263
0.000 0.000 0.500
0.000 0.500 0.000
0.500 0.000 0.000
0.500 0.500 0.500
0.000 0.500 0.500
0.500 0.000 0.500
0.500 0.500 0.000
```

SG: R-3m (166)
Total moment: 0.0 μB per formula unit
Raw total energy: -5.512 eV per atom
Theoretical density: 6468 kg/m³


Nd4RhSeI2 after structural relaxation. Source: Alexandria, functional PBE.

```
Nd4RhSeI2
1.0
7.696 0.000 0.000
0.000 4.156 0.000
-2.359 0.000 7.831
Nd Rh Se I
4 1 1 2
direct
0.206 0.000 0.190
0.259 0.500 0.804
0.741 0.500 0.196
0.794 0.000 0.810
0.000 0.500 0.000
0.500 0.000 0.000
0.000 0.000 0.500
0.500 0.500 0.500
```

SG: P2/m (10)
Total moment: 0.0 μB per formula unit
Raw total energy: -5.249 eV per atom
Theoretical density: 6714 kg/m³


Nd6Rh2SeI3 after structural relaxation. Source: Alexandria, functional PBE.

```
Nd6Rh2SeI3
1.0
3.709 -6.418 0.000
3.709 6.418 0.000
-2.463 0.000 7.972
Nd Rh Se I
6 2 1 3
direct
0.081 0.436 0.810
0.207 0.207 0.189
0.436 0.081 0.810
0.564 0.919 0.190
0.793 0.793 0.811
0.919 0.564 0.190
0.167 0.833 0.000
0.833 0.167 0.000
0.500 0.500 0.000
0.000 0.000 0.500
0.338 0.662 0.500
0.662 0.338 0.500
```

SG: C2/m (12)
Total moment: 0.0 μB per formula unit
Raw total energy: -5.354 eV per atom
Theoretical density: 6699 kg/m³


Nd8SiRh3I4 after structural relaxation. Source: Alexandria, functional PBE.

```
Nd8SiRh3I4
1.0
7.363 -4.251 0.000
7.363 4.251 0.000
-4.907 0.000 8.033
Nd Si Rh I
8 1 3 4
direct
0.218 0.734 0.686
0.231 0.231 0.690
0.266 0.266 0.314
0.266 0.782 0.314
0.734 0.218 0.686
0.734 0.734 0.686
0.769 0.769 0.310
0.782 0.266 0.314
0.500 0.500 0.500
0.000 0.000 0.500
0.000 0.500 0.500
0.500 0.000 0.500
0.000 0.000 0.000
0.000 0.500 0.000
0.500 0.000 0.000
0.500 0.500 0.000
```

SG: C2/m (12)
Total moment: 0.0 μB per formula unit
Raw total energy: -5.382 eV per atom
Theoretical density: 6599 kg/m³


Nd6SiRh2I3 after structural relaxation. Source: Alexandria, functional PBE.

```
Nd6SiRh2I3
1.0
3.688 -6.388 0.000
3.688 6.388 0.000
-2.463 0.000 8.002
Nd Si Rh I
6 1 2 3
direct
0.094 0.438 0.810
0.218 0.218 0.189
0.438 0.094 0.810
0.562 0.906 0.190
0.782 0.782 0.811
0.906 0.562 0.190
0.500 0.500 0.000
0.167 0.833 0.000
0.833 0.167 0.000
0.000 0.000 0.500
0.338 0.662 0.500
0.662 0.338 0.500
```

SG: C2/m (12)
Total moment: 0.0 μB per formula unit
Raw total energy: -5.328 eV per atom
Theoretical density: 6518 kg/m³


Nd8Si3RhI4 after structural relaxation. Source: Alexandria, functional PBE.

```
Nd8Si3RhI4
1.0
4.322 2.495 7.741
-4.322 2.495 7.741
0.000 -4.990 7.741
Nd Si Rh I
8 3 1 4
direct
0.233 0.233 0.233
0.238 0.727 0.727
0.273 0.273 0.762
0.273 0.762 0.273
0.727 0.238 0.727
0.727 0.727 0.238
0.762 0.273 0.273
0.767 0.767 0.767
0.000 0.000 0.500
0.000 0.500 0.000
0.500 0.000 0.000
0.500 0.500 0.500
0.000 0.000 0.000
0.000 0.500 0.500
0.500 0.000 0.500
0.500 0.500 0.000
```

SG: R-3m (166)
Total moment: 0.0 μB per formula unit
Raw total energy: -5.155 eV per atom
Theoretical density: 6129 kg/m³


NdSmRhI after structural relaxation. Source: Alexandria, functional PBE.

```
NdSmRhI
1.0
2.075 1.198 8.147
-2.075 1.198 8.147
0.000 -2.396 8.147
Nd Sm Rh I
1 1 1 1
direct
0.000 0.000 0.000
0.210 0.210 0.210
0.604 0.604 0.604
0.774 0.774 0.774
```

SG: R3m (160)
Total moment: 0.0 μB per formula unit
Raw total energy: -5.533 eV per atom
Theoretical density: 7164 kg/m³


> The lowest raw total energy belongs to which entry?

NdSmRhI